#w
Compound: YOsRh2
Source: the Alexandria database
Functional: GGA-PBE
Structure: optimized geometry

Unit cell a=5.734 b=5.734 c=5.734 alpha=150.56 beta=132.36 gamma=57.00
Fractional coordinates of all 4 atoms:
Y 0.000 0.000 0.000
Os 0.273 0.773 0.500
Rh 0.489 0.489 0.000
Rh 0.726 0.226 0.500

total magnetization	0.00	Bohr magnetons per cell
crystal system	orthorhombic
V	68.01	Å³ per cell



#x
Compound: YOsRh2
Source: the Alexandria database
Functional: GGA-PBE
Structure: optimized geometry

Unit cell a=9.424 b=9.424 c=9.424 alpha=17.58 beta=17.58 gamma=17.58
Fractional coordinates of all 4 atoms:
Y 0.000 0.000 0.000
Os 0.500 0.500 0.500
Rh 0.243 0.243 0.243
Rh 0.757 0.757 0.757

total magnetization	0.02	Bohr magnetons per cell
crystal system	trigonal
V	66.62	Å³ per cell



#y
Compound: YOsRh2
Source: the Alexandria database
Functional: GGA-PBE
Structure: optimized geometry

Unit cell a=9.517 b=9.517 c=9.517 alpha=17.33 beta=17.33 gamma=17.33
Fractional coordinates of all 4 atoms:
Y 0.000 0.000 0.000
Os 0.760 0.760 0.760
Rh 0.247 0.247 0.247
Rh 0.500 0.500 0.500

total magnetization	0.39	Bohr magnetons per cell
crystal system	trigonal
V	66.77	Å³ per cell



#z
Compound: YOsRh2
Source: the Alexandria database
Functional: GGA-PBE
Structure: optimized geometry

Unit cell a=3.388 b=3.388 c=6.067 alpha=90.00 beta=90.00 gamma=90.00
Fractional coordinates of all 4 atoms:
Y 0.000 0.000 0.000
Os 0.000 0.000 0.500
Rh 0.500 0.500 0.287
Rh 0.500 0.500 0.713

total magnetization	0.88	Bohr magnetons per cell
crystal system	tetragonal
V	69.66	Å³ per cell



We find #w to be the most stable, with the next structure 35 meV per atom higher.



#w
Compound: YOsRh2
Source: the Alexandria database
Functional: GGA-PBE
Structure: optimized geometry

Unit cell a=2.896 b=4.597 c=4.970 alpha=90.00 beta=90.00 gamma=90.00
Fractional coordinates of all 4 atoms:
Y 0.000 0.000 0.000
Os 0.000 0.500 0.610
Rh 0.500 0.000 0.501
Rh 0.500 0.500 0.144

total magnetization	0.00	Bohr magnetons per cell
crystal system	orthorhombic
V	66.16	Å³ per cell



#x
Compound: YOsRh2
Source: the Alexandria database
Functional: GGA-PBE
Structure: optimized geometry

Unit cell a=4.911 b=4.911 c=4.911 alpha=130.42 beta=130.42 gamma=72.73
Fractional coordinates of all 4 atoms:
Y 0.000 0.000 0.000
Os 0.500 0.500 0.000
Rh 0.250 0.750 0.500
Rh 0.750 0.250 0.500

total magnetization	0.00	Bohr magnetons per cell
crystal system	tetragonal
V	67.08	Å³ per cell



We find #w to be the most stable, with the next structure 51 meV per atom higher.



#w
Compound: YOsRh2
Source: the Alexandria database
Functional: GGA-PBE
Structure: optimized geometry

Unit cell a=2.907 b=2.907 c=7.925 alpha=90.00 beta=90.00 gamma=90.00
Fractional coordinates of all 4 atoms:
Y 0.000 0.000 0.000
Os 0.000 0.000 0.500
Rh 0.500 0.500 0.280
Rh 0.500 0.500 0.720

total magnetization	0.00	Bohr magnetons per cell
crystal system	tetragonal
V	66.99	Å³ per cell



#x
Compound: YOsRh2
Source: the Alexandria database
Functional: GGA-PBE
Structure: optimized geometry

Unit cell a=9.424 b=9.424 c=9.424 alpha=154.75 beta=154.75 gamma=36.02
Fractional coordinates of all 8 atoms:
Y 0.000 0.000 0.000
Y 0.750 0.250 0.500
Os 0.250 0.750 0.500
Os 0.500 0.500 0.000
Rh 0.175 0.625 0.050
Rh 0.375 0.425 0.550
Rh 0.575 0.125 0.950
Rh 0.875 0.825 0.450

total magnetization	0.00	Bohr magnetons per cell
crystal system	tetragonal
V	152.15	Å³ per cell



We find #w to be the most stable, with the next structure 317 meV per atom higher.



#w
Compound: YOsRh
Source: the Alexandria database
Functional: GGA-PBE
Structure: optimized geometry

Unit cell a=6.505 b=6.505 c=6.505 alpha=153.68 beta=153.68 gamma=37.56
Fractional coordinates of all 3 atoms:
Y 0.000 0.000 0.000
Os 0.682 0.682 0.000
Rh 0.311 0.311 0.000

total magnetization	0.00	Bohr magnetons per cell
crystal system	tetragonal
V	54.01	Å³ per cell



#x
Compound: YOsRh
Source: the Alexandria database
Functional: GGA-PBE
Structure: optimized geometry

Unit cell a=4.341 b=4.883 c=6.575 alpha=107.04 beta=90.06 gamma=116.26
Fractional coordinates of all 6 atoms:
Y 0.000 0.000 0.000
Y 0.265 0.530 0.575
Os 0.543 0.084 0.369
Os 0.784 0.567 0.264
Rh 0.300 0.599 0.028
Rh 0.638 0.276 0.789

total magnetization	0.00	Bohr magnetons per cell
crystal system	triclinic
V	118.11	Å³ per cell



#y
Compound: YOsRh
Source: the Alexandria database
Functional: GGA-PBE
Structure: optimized geometry

Unit cell a=5.601 b=5.601 c=5.601 alpha=134.06 beta=94.51 gamma=103.06
Fractional coordinates of all 6 atoms:
Y 0.190 0.250 0.440
Y 0.810 0.750 0.560
Os 0.252 0.575 0.176
Os 0.399 0.075 0.824
Rh 0.593 0.946 0.147
Rh 0.799 0.446 0.853

total magnetization	0.00	Bohr magnetons per cell
crystal system	orthorhombic
V	115.83	Å³ per cell



#z
Compound: YOsRh
Source: the Alexandria database
Functional: GGA-PBE
Structure: optimized geometry

Unit cell a=4.472 b=4.472 c=3.255 alpha=90.00 beta=90.00 gamma=120.00
Fractional coordinates of all 3 atoms:
Y 0.000 0.000 0.000
Os 0.667 0.333 0.500
Rh 0.333 0.667 0.500

total magnetization	0.00	Bohr magnetons per cell
crystal system	hexagonal
V	56.37	Å³ per cell



We find #y to be the most stable, with the next structure 193 meV per atom higher.



#w
Compound: YOsRh
Source: the Alexandria database
Functional: GGA-PBE
Structure: optimized geometry

Unit cell a=4.458 b=4.458 c=4.458 alpha=60.00 beta=60.00 gamma=60.00
Fractional coordinates of all 3 atoms:
Y 0.000 0.000 0.000
Os 0.500 0.500 0.500
Rh 0.750 0.750 0.750

total magnetization	0.00	Bohr magnetons per cell
crystal system	cubic
V	62.64	Å³ per cell



#x
Compound: YOsRh
Source: the Alexandria database
Functional: GGA-PBE
Structure: optimized geometry

Unit cell a=4.444 b=4.444 c=6.580 alpha=90.00 beta=90.00 gamma=120.00
Fractional coordinates of all 6 atoms:
Y 0.000 0.000 0.000
Y 0.333 0.667 0.347
Os 0.000 0.000 0.589
Os 0.667 0.333 0.607
Rh 0.333 0.667 0.804
Rh 0.667 0.333 0.161

total magnetization	0.00	Bohr magnetons per cell
crystal system	trigonal
V	112.53	Å³ per cell



#y
Compound: YOsRh
Source: the Alexandria database
Functional: GGA-PBE
Structure: optimized geometry

Unit cell a=5.552 b=5.552 c=5.497 alpha=93.79 beta=93.79 gamma=43.67
Fractional coordinates of all 6 atoms:
Y 0.000 0.000 0.000
Y 0.598 0.598 0.519
Os 0.319 0.319 0.259
Os 0.873 0.873 0.481
Rh 0.301 0.301 0.779
Rh 0.697 0.697 0.034

total magnetization	0.00	Bohr magnetons per cell
crystal system	monoclinic
V	116.69	Å³ per cell



#z
Compound: YOsRh
Source: the Alexandria database
Functional: GGA-PBE
Structure: optimized geometry

Unit cell a=4.999 b=4.999 c=5.449 alpha=102.06 beta=102.06 gamma=54.38
Fractional coordinates of all 6 atoms:
Y 0.146 0.146 0.320
Y 0.854 0.854 0.680
Os 0.500 0.500 0.000
Os 0.500 0.500 0.500
Rh 0.187 0.187 0.850
Rh 0.813 0.813 0.150

total magnetization	0.00	Bohr magnetons per cell
crystal system	monoclinic
V	107.60	Å³ per cell



We find #y to be the most stable, with the next structure 89 meV per atom higher.



#w
Compound: YOsRh
Source: the Alexandria database
Functional: GGA-PBE
Structure: optimized geometry

Unit cell a=2.930 b=2.930 c=7.140 alpha=90.00 beta=90.00 gamma=120.00
Fractional coordinates of all 3 atoms:
Y 0.000 0.000 0.000
Os 0.667 0.333 0.361
Rh 0.333 0.667 0.652

total magnetization	0.00	Bohr magnetons per cell
crystal system	trigonal
V	53.09	Å³ per cell



#x
Compound: YOsRh
Source: the Alexandria database
Functional: GGA-PBE
Structure: optimized geometry

Unit cell a=5.416 b=5.416 c=5.416 alpha=123.97 beta=119.61 gamma=86.98
Fractional coordinates of all 6 atoms:
Y 0.371 0.121 0.250
Y 0.629 0.879 0.750
Os 0.000 0.000 0.500
Os 0.000 0.500 0.000
Rh 0.000 0.500 0.500
Rh 0.500 0.500 0.000

total magnetization	0.00	Bohr magnetons per cell
crystal system	orthorhombic
V	108.93	Å³ per cell



#y
Compound: YOsRh
Source: the Alexandria database
Functional: GGA-PBE
Structure: optimized geometry

Unit cell a=5.224 b=5.224 c=5.041 alpha=104.28 beta=104.28 gamma=63.48
Fractional coordinates of all 6 atoms:
Y 0.000 0.000 0.000
Y 0.618 0.618 0.693
Os 0.104 0.104 0.549
Os 0.338 0.338 0.942
Rh 0.085 0.579 0.391
Rh 0.579 0.085 0.391

total magnetization	0.00	Bohr magnetons per cell
crystal system	monoclinic
V	117.80	Å³ per cell



#z
Compound: YOsRh
Source: the Alexandria database
Functional: GGA-PBE
Structure: optimized geometry

Unit cell a=4.486 b=4.486 c=4.486 alpha=60.00 beta=60.00 gamma=60.00
Fractional coordinates of all 3 atoms:
Y 0.000 0.000 0.000
Os 0.750 0.750 0.750
Rh 0.250 0.250 0.250

total magnetization	0.62	Bohr magnetons per cell
crystal system	cubic
V	63.83	Å³ per cell



We find #x to be the most stable, with the next structure 403 meV per atom higher.



#w
Compound: YOsRh
Source: the Alexandria database
Functional: GGA-PBE
Structure: optimized geometry

Unit cell a=5.543 b=5.543 c=5.543 alpha=149.63 beta=138.79 gamma=52.04
Fractional coordinates of all 3 atoms:
Y 0.000 0.000 0.000
Os 0.701 0.701 0.000
Rh 0.293 0.293 0.000

total magnetization	0.00	Bohr magnetons per cell
crystal system	orthorhombic
V	56.42	Å³ per cell



#x
Compound: YOsRh
Source: the Alexandria database
Functional: GGA-PBE
Structure: optimized geometry

Unit cell a=3.904 b=6.708 c=6.708 alpha=38.84 beta=90.00 gamma=90.00
Fractional coordinates of all 6 atoms:
Y 0.000 0.000 0.000
Y 0.000 0.310 0.310
Os 0.000 0.648 0.648
Os 0.500 0.521 0.521
Rh 0.500 0.159 0.159
Rh 0.500 0.818 0.818

total magnetization	0.00	Bohr magnetons per cell
crystal system	orthorhombic
V	110.17	Å³ per cell



#y
Compound: YOsRh
Source: the Alexandria database
Functional: GGA-PBE
Structure: optimized geometry

Unit cell a=5.506 b=5.506 c=7.091 alpha=128.35 beta=128.35 gamma=46.90
Fractional coordinates of all 6 atoms:
Y 0.058 0.058 0.312
Y 0.942 0.942 0.688
Os 0.354 0.354 0.926
Os 0.646 0.646 0.074
Rh 0.331 0.331 0.280
Rh 0.669 0.669 0.720

total magnetization	0.00	Bohr magnetons per cell
crystal system	monoclinic
V	115.61	Å³ per cell



We find #y to be the most stable, with the next structure 126 meV per atom higher.



#w
Compound: ZrOsRh2
Source: the Alexandria database
Functional: GGA-PBE
Structure: optimized geometry

Unit cell a=9.354 b=9.354 c=9.354 alpha=17.34 beta=17.34 gamma=17.34
Fractional coordinates of all 4 atoms:
Zr 0.000 0.000 0.000
Os 0.500 0.500 0.500
Rh 0.244 0.244 0.244
Rh 0.756 0.756 0.756

total magnetization	0.00	Bohr magnetons per cell
crystal system	trigonal
V	63.42	Å³ per cell



#x
Compound: ZrOsRh2
Source: the Alexandria database
Functional: GGA-PBE
Structure: optimized geometry

Unit cell a=2.818 b=2.818 c=7.965 alpha=90.00 beta=90.00 gamma=90.00
Fractional coordinates of all 4 atoms:
Zr 0.000 0.000 0.000
Os 0.000 0.000 0.500
Rh 0.500 0.500 0.271
Rh 0.500 0.500 0.729

total magnetization	0.00	Bohr magnetons per cell
crystal system	tetragonal
V	63.25	Å³ per cell



#y
Compound: ZrOsRh2
Source: the Alexandria database
Functional: GGA-PBE
Structure: optimized geometry

Unit cell a=4.738 b=2.933 c=4.748 alpha=90.00 beta=106.68 gamma=90.00
Fractional coordinates of all 4 atoms:
Zr 0.000 0.000 0.000
Os 0.500 0.500 0.000
Rh 0.000 0.500 0.500
Rh 0.500 0.000 0.500

total magnetization	0.00	Bohr magnetons per cell
crystal system	monoclinic
V	63.21	Å³ per cell



#z
Compound: ZrOsRh2
Source: the Alexandria database
Functional: GGA-PBE
Structure: optimized geometry

Unit cell a=4.513 b=4.513 c=4.513 alpha=60.00 beta=60.00 gamma=60.00
Fractional coordinates of all 4 atoms:
Zr 0.000 0.000 0.000
Os 0.500 0.500 0.500
Rh 0.250 0.250 0.250
Rh 0.750 0.750 0.750

total magnetization	1.91	Bohr magnetons per cell
crystal system	cubic
V	65.00	Å³ per cell



We find #y to be the most stable, with the next structure 92 meV per atom higher.